Entry from Alexandria via LeMat-Bulk: crystalline ZrMn2AgO at its relaxed geometry (GGA+U).

Cell: 5.5257 5.5257 5.2645 Å, 90.00 90.00 90.00°
Space group P4/mmm (No. 123)
Unique sites:
Zr1 0.0000 0.0000 0.0000 (multiplicity 1)
Mn1 0.0000 0.5000 0.0000 (multiplicity 2)
Ag1 0.0000 0.0000 0.5000 (multiplicity 1)
O1 0.5000 0.5000 0.5000 (multiplicity 1)

Uncorrected energy, eV per atom: -4.504